A relaxed structure of BaInRu2. Source: Alexandria, functional PBE.

a = 3.156 Å, b = 4.148 Å, c = 6.988 Å
α = 90.00°, β = 90.00°, γ = 90.00°
Sites, in units of the cell vectors:
Ba1 0.000 0.000 0.000
In1 0.000 0.000 0.500
Ru1 0.500 0.500 0.329
Ru2 0.500 0.500 0.671

## Properties
Formation enthalpy at 0 K, eV/atom: 0.50

A relaxed structure of ZrZnCr2. Source: Alexandria, functional PBE.

a = 3.386 Å, b = 4.241 Å, c = 4.423 Å
α = 90.00°, β = 90.00°, γ = 90.00°
Sites, in units of the cell vectors:
Zr1 0.000 0.000 0.000
Zn1 0.500 0.000 0.500
Cr1 0.000 0.500 0.500
Cr2 0.500 0.500 0.000

## Properties
Formation enthalpy at 0 K, eV/atom: 0.22

A relaxed structure of ZrNbCrCl2. Source: Alexandria, functional PBE.

a = 4.624 Å, b = 4.624 Å, c = 5.884 Å
α = 90.00°, β = 90.00°, γ = 90.00°
Sites, in units of the cell vectors:
Zr1 0.000 0.000 0.000
Nb1 0.000 0.000 0.500
Cr1 0.500 0.500 0.000
Cl1 0.000 0.500 0.500
Cl2 0.500 0.000 0.500

## Properties
E_form (uncorrected), eV/atom: 1.004

The D(E_F) results, record by record, are as follows: 5.23, 3.72, 8.47 states/eV per cell.
The uncorrected energy results, record by record, are as follows: -5.30, -7.05, -5.38 eV per atom.